DFT (GGA-PBE) results for LiFeCoC after structural relaxation. Values from VASP.

Summary:
Its space group is F-43m. As for the final energy: -6.07 eV per atom.

```
&SYSTEM
  ibrav = 0, nat = 4, ntyp = 4
/
ATOMIC_SPECIES
Co 58.93 Co.upf
Fe 55.84 Fe.upf
Li 6.94 Li.upf
C 12.01 C.upf
ATOMIC_POSITIONS angstrom
Co 0.313 -1.995 -0.860
Fe 0.939 -5.986 -2.581
Li 0.000 0.000 0.000
C 0.626 -3.991 -1.721
CELL_PARAMETERS angstrom
-0.998 -3.440 0.146
-0.157 -1.950 -3.004
2.408 -2.591 -0.583
```



DFT (GGA-PBE) results for LiFe2CoC after structural relaxation. Values from VASP.

Summary:
Its space group is P4/mmm. As for the final energy: -6.95 eV per atom.

```
&SYSTEM
  ibrav = 0, nat = 5, ntyp = 4
/
ATOMIC_SPECIES
Fe 55.84 Fe.upf
C 12.01 C.upf
Co 58.93 Co.upf
Li 6.94 Li.upf
ATOMIC_POSITIONS angstrom
Fe 0.000 1.884 0.000
C 0.000 0.000 0.000
Co 0.000 0.000 1.872
Li 1.884 1.884 1.872
Fe 1.884 0.000 0.000
CELL_PARAMETERS angstrom
3.767 0.000 0.000
0.000 3.767 0.000
0.000 0.000 3.744
```



DFT (GGA-PBE) results for LiFeCo2C after structural relaxation. Values from VASP.

Summary:
Its space group is P4/mmm. As for the final energy: -6.69 eV per atom.

```
&SYSTEM
  ibrav = 0, nat = 5, ntyp = 4
/
ATOMIC_SPECIES
Co 58.93 Co.upf
C 12.01 C.upf
Fe 55.84 Fe.upf
Li 6.94 Li.upf
ATOMIC_POSITIONS angstrom
Co 0.018 -1.059 -1.539
C 0.000 0.000 0.000
Co -1.849 0.204 -0.162
Fe -0.262 -1.536 1.054
Li -2.093 -2.391 -0.647
CELL_PARAMETERS angstrom
-3.699 0.407 -0.325
0.037 -2.117 -3.077
-0.523 -3.072 2.107
```



no.,energy of formation (meV per atom)
1,608
2,85
3,70